Compound: MnSbWO6
Source: Alexandria
Functional: PBE with a Hubbard U
Structure: relaxed

Results
Volume (Å³/atom): 12.4
VASP energy (eV per atom): -7.012
Space-group type: P-31c, No. 163

a = 5.280 Å, b = 5.280 Å, c = 9.248 Å
α = 90.00°, β = 90.00°, γ = 120.00°
Positions (direct):
1 Mn 0.333 0.667 0.250
2 Mn 0.667 0.333 0.750
3 Sb 0.000 0.000 0.000
4 Sb 0.000 0.000 0.500
5 W 0.333 0.667 0.750
6 W 0.667 0.333 0.250
7 O 0.028 0.356 0.631
8 O 0.028 0.672 0.869
9 O 0.328 0.356 0.869
10 O 0.328 0.972 0.631
11 O 0.356 0.028 0.131
12 O 0.356 0.328 0.369
13 O 0.644 0.672 0.631
14 O 0.644 0.972 0.869
15 O 0.672 0.028 0.369
16 O 0.672 0.644 0.131
17 O 0.972 0.328 0.131
18 O 0.972 0.644 0.369